Density functional theory data (PBE-GGA) for a relaxed TmCuSn2Pd4 crystal.

a b c (Å): 4.638 4.638 8.046
angles (deg): 73.25 73.25 60.00
Sites, in units of the cell vectors:
Sn: 0.248 0.248 0.256
Pd: 0.385 0.385 0.845
Sn: 0.752 0.752 0.744
Cu: 0.500 0.500 0.500
Pd: 0.873 0.873 0.382
Pd: 0.615 0.615 0.155
Tm: 0.000 0.000 0.000
Pd: 0.127 0.127 0.618

Values from the calculation:
Energy of formation from the pure elements, eV per atom: -0.6130
Theoretical density, Mg/m³: 10.5